The following is a GGA-PBE calculation of a geometry-optimized B3MoW structure, from the Alexandria database.

Cell lengths 9.7504, 9.7504, 3.0878 Å; angles 90.00, 90.00, 161.06 degrees
With the nearest neighbours (Å) after each atom.
Fractional positions:
B (0.0231, 0.9769, 0.7500)  3 B 1.78-1.80
B (0.1166, 0.8834, 0.7500)  3 B 1.80-1.84
B (0.1690, 0.8310, 0.2500)  2 B 1.84
B (0.8310, 0.1690, 0.7500)  2 B 1.84
B (0.8834, 0.1166, 0.2500)  3 B 1.80-1.84
B (0.9769, 0.0231, 0.2500)  3 B 1.78-1.80
Mo (0.3001, 0.6999, 0.2500)  7 B 2.27-2.52
Mo (0.6999, 0.3001, 0.7500)  7 B 2.27-2.52
W (0.4299, 0.5701, 0.7500)  12 B 2.40-2.49
W (0.5701, 0.4299, 0.2500)  12 B 2.40-2.49

The calculation puts the total energy at -9.044 eV per atom. The value obtained for the size of the total moment is 0.00 μB/cell. The value obtained for the formation energy is -0.281 eV per atom.